A plane-wave DFT calculation with PBE-GGA was carried out for a geometry-optimized BaYMg14 structure.

Lattice parameters (Å, degrees): 10.685 6.728 6.728 58.37 90.00 90.00
Fractional positions:
Ba 0.000 0.000 0.000
Y 0.000 0.466 0.466
Mg 0.000 0.503 0.971
Mg 0.000 0.971 0.503
Mg 0.247 0.642 0.642
Mg 0.264 0.144 0.644
Mg 0.264 0.644 0.144
Mg 0.266 0.159 0.159
Mg 0.500 0.482 0.482
Mg 0.500 0.489 0.974
Mg 0.500 0.974 0.489
Mg 0.500 0.986 0.986
Mg 0.734 0.159 0.159
Mg 0.736 0.144 0.644
Mg 0.736 0.644 0.144
Mg 0.753 0.642 0.642

Summary:
The value obtained for the formation energy is 0.066 eV/atom. Its calculated total energy is -29.66 eV/cell. The density comes out at 2.28 g/cm³. The crystal system is orthorhombic.